# ZnTc2Se (GGA-PBE, relaxed)
# E_form (uncorrected), eV/atom: 0.05
# Energy relative to the lowest polymorph listed for this composition, eV per atom: 0.0000
# Space-group type: P4mm, No. 99
# Fermi-level density of states, states/eV per atom: 0.855
# Theoretical density, g/cm³: 8.272
data_ZnTc2Se
_chemical_formula_sum 'Zn1 Tc2 Se1'
_cell_length_a 2.9426
_cell_length_b 2.9426
_cell_length_c 7.8906
_cell_angle_alpha 90.00
_cell_angle_beta 90.00
_cell_angle_gamma 90.00
_symmetry_space_group_name_H-M 'P 1'
_symmetry_Int_Tables_number 1
_symmetry_space_group_name_Hall 'P 1'
loop_
_atom_site_label
_atom_site_type_symbol
_atom_site_fract_x
_atom_site_fract_y
_atom_site_fract_z
Se1 Se 0.5000 0.5000 0.8157
Tc1 Tc 0.0000 0.0000 0.0125
Tc2 Tc 0.5000 0.5000 0.2299
Zn1 Zn 0.0000 0.0000 0.4418

# BiPF3 (GGA-PBE, relaxed)
# E_form (uncorrected), eV/atom: -1.19
# Energy relative to the lowest polymorph listed for this composition, eV per atom: 0.5933
# Space-group type: Pm-3m, No. 221
# Fermi-level density of states, states/eV per atom: 0.000
# Theoretical density, g/cm³: 4.970
data_BiPF3
_chemical_formula_sum 'Bi1 P1 F3'
_cell_length_a 4.6293
_cell_length_b 4.6293
_cell_length_c 4.6293
_cell_angle_alpha 90.00
_cell_angle_beta 90.00
_cell_angle_gamma 90.00
_symmetry_space_group_name_H-M 'P 1'
_symmetry_Int_Tables_number 1
_symmetry_space_group_name_Hall 'P 1'
loop_
_atom_site_label
_atom_site_type_symbol
_atom_site_fract_x
_atom_site_fract_y
_atom_site_fract_z
F1 F 0.0000 0.0000 0.5000
F2 F 0.5000 0.0000 0.0000
F3 F 0.0000 0.5000 0.0000
Bi1 Bi 0.0000 0.0000 0.0000
P1 P 0.5000 0.5000 0.5000

# CePm2Se2N2 (GGA-PBE, relaxed)
# E_form (uncorrected), eV/atom: -1.49
# Space-group type: I4/mmm, No. 139
# Theoretical density, g/cm³: 6.846
data_CePm2Se2N2
_chemical_formula_sum 'Ce1 Pm2 Se2 N2'
_cell_length_a 4.4190
_cell_length_b 4.4190
_cell_length_c 8.2653
_cell_angle_alpha 105.50
_cell_angle_beta 105.50
_cell_angle_gamma 90.00
_symmetry_space_group_name_H-M 'P 1'
_symmetry_Int_Tables_number 1
_symmetry_space_group_name_Hall 'P 1'
loop_
_atom_site_label
_atom_site_type_symbol
_atom_site_fract_x
_atom_site_fract_y
_atom_site_fract_z
Pm1 Pm 0.6159 0.6159 0.2318
Ce1 Ce 0.0000 0.0000 0.0000
Pm2 Pm 0.3841 0.3841 0.7682
N1 N 0.0000 0.5000 0.0000
Se1 Se 0.8126 0.8126 0.6253
N2 N 0.5000 0.0000 0.0000
Se2 Se 0.1874 0.1874 0.3747

# HgSbPb3 (GGA-PBE, relaxed)
# E_form (uncorrected), eV/atom: 0.07
# Energy relative to the lowest polymorph listed for this composition, eV per atom: 0.0466
# Space-group type: Pnma, No. 62
# Fermi-level density of states, states/eV per atom: 0.497
# Theoretical density, g/cm³: 10.111
data_HgSbPb3
_chemical_formula_sum 'Hg4 Sb4 Pb12'
_cell_length_a 6.7935
_cell_length_b 10.6059
_cell_length_c 8.6066
_cell_angle_alpha 90.00
_cell_angle_beta 90.00
_cell_angle_gamma 90.00
_symmetry_space_group_name_H-M 'P 1'
_symmetry_Int_Tables_number 1
_symmetry_space_group_name_Hall 'P 1'
loop_
_atom_site_label
_atom_site_type_symbol
_atom_site_fract_x
_atom_site_fract_y
_atom_site_fract_z
Pb1 Pb 0.3618 0.3053 0.4485
Hg1 Hg 0.3046 0.5414 0.7500
Pb2 Pb 0.6382 0.6947 0.9485
Pb3 Pb 0.8618 0.1947 0.0515
Pb4 Pb 0.3035 0.6201 0.2500
Sb1 Sb 0.5000 0.0000 0.0000
Hg2 Hg 0.8046 0.9586 0.7500
Hg3 Hg 0.6954 0.4586 0.2500
Pb5 Pb 0.1965 0.1201 0.7500
Sb2 Sb 0.0000 0.5000 0.0000
Pb6 Pb 0.1382 0.8053 0.5515
Pb7 Pb 0.1382 0.8053 0.9485
Pb8 Pb 0.8618 0.1947 0.4485
Pb9 Pb 0.3618 0.3053 0.0515
Pb10 Pb 0.6965 0.3799 0.7500
Pb11 Pb 0.8035 0.8799 0.2500
Pb12 Pb 0.6382 0.6947 0.5515
Sb3 Sb 0.0000 0.5000 0.5000
Hg4 Hg 0.1954 0.0414 0.2500
Sb4 Sb 0.5000 0.0000 0.5000

# CsZnHg2As (GGA-PBE, relaxed)
# Energy of formation from the pure elements, eV per atom: -0.0697
# Space-group type: P4/mmm, No. 123
# Fermi-level density of states, states/eV per atom: 0.328
# Theoretical density, g/cm³: 7.027
data_CsZnHg2As
_chemical_formula_sum 'Cs1 Zn1 Hg2 As1'
_cell_length_a 5.6905
_cell_length_b 5.6905
_cell_length_c 4.9214
_cell_angle_alpha 90.00
_cell_angle_beta 90.00
_cell_angle_gamma 90.00
_symmetry_space_group_name_H-M 'P 1'
_symmetry_Int_Tables_number 1
_symmetry_space_group_name_Hall 'P 1'
loop_
_atom_site_label
_atom_site_type_symbol
_atom_site_fract_x
_atom_site_fract_y
_atom_site_fract_z
Hg1 Hg 0.5000 0.0000 0.0000
Hg2 Hg 0.0000 0.5000 0.0000
As1 As 0.0000 0.0000 0.5000
Zn1 Zn 0.0000 0.0000 0.0000
Cs1 Cs 0.5000 0.5000 0.5000

# ZrCd2Tc (GGA-PBE, relaxed)
# Energy relative to the lowest polymorph listed for this composition, eV per atom: 0.0124
# Energy of formation from the pure elements, eV per atom: 0.0108
# Space-group type: P4mm, No. 99
# Fermi-level density of states, states/eV per atom: 0.673
# Theoretical density, g/cm³: 8.604
data_ZrCd2Tc
_chemical_formula_sum 'Zr1 Cd2 Tc1'
_cell_length_a 3.4369
_cell_length_b 3.4369
_cell_length_c 6.7652
_cell_angle_alpha 90.00
_cell_angle_beta 90.00
_cell_angle_gamma 90.00
_symmetry_space_group_name_H-M 'P 1'
_symmetry_Int_Tables_number 1
_symmetry_space_group_name_Hall 'P 1'
loop_
_atom_site_label
_atom_site_type_symbol
_atom_site_fract_x
_atom_site_fract_y
_atom_site_fract_z
Tc1 Tc 0.0000 0.0000 0.5249
Cd1 Cd 0.5000 0.5000 0.2632
Zr1 Zr 0.5000 0.5000 0.7083
Cd2 Cd 0.0000 0.0000 0.0035

# FeMo2HRh (GGA-PBE, relaxed)
# Energy relative to the lowest polymorph listed for this composition, eV per atom: 1.7740
# Space-group type: P4/mmm, No. 123
# Fermi-level density of states, states/eV per atom: 1.319
# Theoretical density, g/cm³: 6.694
data_FeMo2HRh
_chemical_formula_sum 'Fe1 Mo2 H1 Rh1'
_cell_length_a 4.4212
_cell_length_b 4.4625
_cell_length_c 4.4212
_cell_angle_alpha 90.00
_cell_angle_beta 90.00
_cell_angle_gamma 90.00
_symmetry_space_group_name_H-M 'P 1'
_symmetry_Int_Tables_number 1
_symmetry_space_group_name_Hall 'P 1'
loop_
_atom_site_label
_atom_site_type_symbol
_atom_site_fract_x
_atom_site_fract_y
_atom_site_fract_z
Mo1 Mo 0.0000 0.0000 0.5000
Fe1 Fe 0.0000 0.0000 0.0000
Mo2 Mo 0.5000 0.0000 0.0000
Rh1 Rh 0.0000 0.5000 0.0000
H1 H 0.5000 0.5000 0.5000

# BePbBr4 (GGA-PBE, relaxed)
# E_form (uncorrected), eV/atom: -0.73
# Energy relative to the lowest polymorph listed for this composition, eV per atom: 0.0000
# Space-group type: I-4, No. 82
# Fermi-level density of states, states/eV per atom: 0.000
# Theoretical density, g/cm³: 4.443
data_BePbBr4
_chemical_formula_sum 'Be1 Pb1 Br4'
_cell_length_a 6.3890
_cell_length_b 6.3889
_cell_length_c 6.3887
_cell_angle_alpha 111.14
_cell_angle_beta 111.14
_cell_angle_gamma 106.18
_symmetry_space_group_name_H-M 'P 1'
_symmetry_Int_Tables_number 1
_symmetry_space_group_name_Hall 'P 1'
loop_
_atom_site_label
_atom_site_type_symbol
_atom_site_fract_x
_atom_site_fract_y
_atom_site_fract_z
Br1 Br 0.2735 0.2762 0.5481
Br2 Br 0.7238 0.2719 0.9973
Br3 Br 0.2746 0.7265 0.0027
Be1 Be 0.5000 0.5000 0.0000
Br4 Br 0.7281 0.7254 0.4519
Pb1 Pb 0.7500 0.2500 0.5000

# Mn3FeRe2 (GGA-PBE, relaxed)
# Energy of formation from the pure elements, eV per atom: -0.0857
# Space-group type: P6_3/mmc, No. 194
# Fermi-level density of states, states/eV per atom: 0.928
# Theoretical density, g/cm³: 13.762
data_Mn3FeRe2
_chemical_formula_sum 'Mn6 Fe2 Re4'
_cell_length_a 4.6431
_cell_length_b 4.6431
_cell_length_c 7.6660
_cell_angle_alpha 90.00
_cell_angle_beta 90.00
_cell_angle_gamma 120.00
_symmetry_space_group_name_H-M 'P 1'
_symmetry_Int_Tables_number 1
_symmetry_space_group_name_Hall 'P 1'
loop_
_atom_site_label
_atom_site_type_symbol
_atom_site_fract_x
_atom_site_fract_y
_atom_site_fract_z
Mn1 Mn 0.6526 0.8263 0.2500
Mn2 Mn 0.1737 0.3474 0.2500
Mn3 Mn 0.3474 0.1737 0.7500
Re1 Re 0.3333 0.6667 0.5672
Fe1 Fe 0.0000 0.0000 0.5000
Re2 Re 0.3333 0.6667 0.9328
Mn4 Mn 0.8263 0.1737 0.7500
Fe2 Fe 0.0000 0.0000 0.0000
Re3 Re 0.6667 0.3333 0.0672
Mn5 Mn 0.1737 0.8263 0.2500
Mn6 Mn 0.8263 0.6526 0.7500
Re4 Re 0.6667 0.3333 0.4328

# ZrZnIn2 (GGA-PBE, relaxed)
# Energy of formation from the pure elements, eV per atom: -0.1556
# Space-group type: I4/mmm, No. 139
# Fermi-level density of states, states/eV per atom: 0.822
# Theoretical density, g/cm³: 7.611
data_ZrZnIn2
_chemical_formula_sum 'Zr1 Zn1 In2'
_cell_length_a 5.6328
_cell_length_b 5.6328
_cell_length_c 5.6328
_cell_angle_alpha 136.26
_cell_angle_beta 136.29
_cell_angle_gamma 63.56
_symmetry_space_group_name_H-M 'P 1'
_symmetry_Int_Tables_number 1
_symmetry_space_group_name_Hall 'P 1'
loop_
_atom_site_label
_atom_site_type_symbol
_atom_site_fract_x
_atom_site_fract_y
_atom_site_fract_z
Zr1 Zr 0.2500 0.7500 0.5000
In1 In 0.0000 0.0000 0.0000
Zn1 Zn 0.7500 0.2500 0.5000
In2 In 0.5000 0.5000 0.0000

# Sm2LuBi (GGA-PBE, relaxed)
# Energy relative to the lowest polymorph listed for this composition, eV per atom: 0.1559
# Energy of formation from the pure elements, eV per atom: -0.2332
# Space-group type: P4/mmm, No. 123
# Fermi-level density of states, states/eV per atom: 1.214
# Theoretical density, g/cm³: 9.661
data_Sm2LuBi
_chemical_formula_sum 'Sm2 Lu1 Bi1'
_cell_length_a 4.9162
_cell_length_b 4.8925
_cell_length_c 4.8925
_cell_angle_alpha 90.00
_cell_angle_beta 90.00
_cell_angle_gamma 90.00
_symmetry_space_group_name_H-M 'P 1'
_symmetry_Int_Tables_number 1
_symmetry_space_group_name_Hall 'P 1'
loop_
_atom_site_label
_atom_site_type_symbol
_atom_site_fract_x
_atom_site_fract_y
_atom_site_fract_z
Lu1 Lu 0.5000 0.5000 0.5000
Bi1 Bi 0.5000 0.0000 0.0000
Sm1 Sm 0.0000 0.0000 0.5000
Sm2 Sm 0.0000 0.5000 0.0000

# BaCr3Cd (GGA-PBE, relaxed)
# Energy relative to the lowest polymorph listed for this composition, eV per atom: 1.1025
# Energy of formation from the pure elements, eV per atom: 2.2161
# Space-group type: Pm-3m, No. 221
# Fermi-level density of states, states/eV per atom: 0.785
# Theoretical density, g/cm³: 4.770
data_BaCr3Cd
_chemical_formula_sum 'Ba1 Cr3 Cd1'
_cell_length_a 5.2080
_cell_length_b 5.2080
_cell_length_c 5.2080
_cell_angle_alpha 90.00
_cell_angle_beta 90.00
_cell_angle_gamma 90.00
_symmetry_space_group_name_H-M 'P 1'
_symmetry_Int_Tables_number 1
_symmetry_space_group_name_Hall 'P 1'
loop_
_atom_site_label
_atom_site_type_symbol
_atom_site_fract_x
_atom_site_fract_y
_atom_site_fract_z
Cr1 Cr 0.5000 0.0000 0.0000
Cr2 Cr 0.0000 0.0000 0.5000
Cd1 Cd 0.5000 0.5000 0.5000
Ba1 Ba 0.0000 0.0000 0.0000
Cr3 Cr 0.0000 0.5000 0.0000

| no. | raw total energy (eV/atom) |
| --- | --- |
| 1 | -6.3221 |
| 2 | -4.1736 |
| 3 | -7.0679 |
| 4 | -3.0425 |
| 5 | -1.5458 |
| 6 | -5.1753 |
| 7 | -6.3889 |
| 8 | -3.0886 |
| 9 | -10.2303 |
| 10 | -3.9803 |
| 11 | -4.6933 |
| 12 | -4.1255 |